A relaxed structure of Ca4MnFe3O10, computed with GGA+U.

Calculated values
space group	No. 14
volume	12.92	Å³ per atom
total energy	-6.737	eV per atom

Cell lengths 5.470, 5.602, 16.164 Å; angles 69.92, 90.00, 90.00 degrees
Fractional positions:
Ca: 0.529 0.131 0.890
Ca: 0.029 0.869 0.610
Ca: 0.466 0.588 0.389
Ca: 0.966 0.412 0.111
Ca: 0.471 0.869 0.110
Ca: 0.971 0.131 0.390
Ca: 0.534 0.412 0.611
Ca: 0.034 0.588 0.889
Mn: 0.500 0.500 0.000
Mn: 0.000 0.500 0.500
Fe: 0.550 0.814 0.747
Fe: 0.050 0.186 0.753
Fe: 0.450 0.186 0.253
Fe: 0.950 0.814 0.247
Fe: 0.500 0.000 0.500
Fe: 0.000 0.000 0.000
O: 0.456 0.560 0.850
O: 0.956 0.440 0.650
O: 0.531 0.206 0.364
O: 0.031 0.794 0.136
O: 0.544 0.440 0.150
O: 0.044 0.560 0.350
O: 0.469 0.794 0.636
O: 0.969 0.206 0.864
O: 0.224 0.265 0.017
O: 0.724 0.735 0.483
O: 0.781 0.207 0.518
O: 0.281 0.793 0.982
O: 0.776 0.735 0.983
O: 0.276 0.265 0.517
O: 0.219 0.793 0.482
O: 0.719 0.207 0.018
O: 0.403 0.128 0.749
O: 0.903 0.872 0.751
O: 0.597 0.872 0.251
O: 0.097 0.128 0.249